[1]
TcBPdS2, optimized geometry, DFT PBE; energy relative to the elements, uncorrected = 1.78 eV per atom; electronic total energy = -4.32 eV/atom; magnetization = 4.191 μB/f.u.; space-group type = P4/mmm; D(E_F) = 2.62 states/eV/cell
1.0
4.558 0.000 0.000
0.000 5.194 0.000
0.000 0.000 4.558
S B Tc Pd
2 1 1 1
Cartesian
0.000 0.000 2.279 S
2.279 0.000 0.000 S
2.279 2.597 2.279 B
0.000 2.597 0.000 Tc
0.000 0.000 0.000 Pd

[2]
B2TePdS, optimized geometry, DFT PBE; energy relative to the elements, uncorrected = 1.12 eV per atom; electronic total energy = -4.04 eV/atom; magnetization = 0.000 μB/f.u.; space-group type = P4/mmm; D(E_F) = 1.88 states/eV/cell
1.0
4.020 0.000 0.000
0.000 4.776 0.000
0.000 0.000 4.020
S Te B Pd
1 1 2 1
Cartesian
0.000 0.000 0.000 S
2.010 2.388 2.010 Te
0.000 0.000 2.010 B
2.010 0.000 0.000 B
0.000 2.388 0.000 Pd

[3]
BPdWS2, optimized geometry, DFT PBE; energy relative to the elements, uncorrected = 2.16 eV per atom; electronic total energy = -4.45 eV/atom; magnetization = 0.000 μB/f.u.; space-group type = P4/mmm; D(E_F) = 6.99 states/eV/cell
1.0
-3.754 2.277 0.929
-2.437 -4.333 0.775
1.151 0.128 4.336
S B Pd W
2 1 1 1
Cartesian
0.576 0.064 2.168 S
-1.877 1.139 0.465 S
-2.520 -0.964 3.020 B
0.000 0.000 0.000 Pd
-1.218 -2.167 0.387 W

[4]
BSb2Pd8, optimized geometry, DFT PBE; energy relative to the elements, uncorrected = -0.32 eV per atom; electronic total energy = -5.45 eV/atom; energy relative to the lowest polymorph listed for this composition = 34 meV per atom; magnetization = 0.000 μB/f.u.; space-group type = C2/m; D(E_F) = 4.24 states/eV/cell
1.0
4.533 0.000 0.000
0.000 5.657 -0.148
-2.267 -2.606 6.855
B Sb Pd
1 2 8
Cartesian
2.267 0.000 0.000 B
2.267 0.086 4.432 Sb
0.000 2.965 2.275 Sb
0.000 1.420 5.369 Pd
2.267 4.505 1.661 Pd
2.267 2.738 3.983 Pd
2.267 -1.269 6.701 Pd
0.000 0.314 2.724 Pd
0.000 -1.453 5.047 Pd
2.267 1.632 1.338 Pd
0.000 4.320 0.006 Pd

Q: Look up the energy relative to the elements, uncorrected of the fourth one.
A: -0.32 eV per atom

Repeat the first record exactly.
TcBPdS2, optimized geometry, DFT PBE; energy relative to the elements, uncorrected = 1.78 eV per atom; electronic total energy = -4.32 eV/atom; magnetization = 4.191 μB/f.u.; space-group type = P4/mmm; D(E_F) = 2.62 states/eV/cell
1.0
4.558 0.000 0.000
0.000 5.194 0.000
0.000 0.000 4.558
S B Tc Pd
2 1 1 1
Cartesian
0.000 0.000 2.279 S
2.279 0.000 0.000 S
2.279 2.597 2.279 B
0.000 2.597 0.000 Tc
0.000 0.000 0.000 Pd

Q: Look up the magnetization of the first one.
A: 4.191 μB/f.u.

Q: What is the formula in the fourth record?
A: BSb2Pd8